Entry 1:
SrAcInGe: optimized geometry, PBE.

## Properties
The value obtained for the total energy is -3.71 eV/atom. The calculation puts the excess energy over the best structure of this formula in the dataset at 136.5 meV/atom. For the volume, the calculation gives 126.66 Å³ per cell. The space group is F-43m, No. 216.

Cell lengths 5.6371, 5.6371, 5.6371 Å; angles 60.00, 60.00, 60.00 degrees
Fractional positions:
In 0.5000 0.5000 0.5000
Ge 0.0000 0.0000 0.0000
Sr 0.2500 0.2500 0.2500
Ac 0.7500 0.7500 0.7500

---

Entry 2:
BeCdMo2: optimized geometry, PBE.

## Properties
The value obtained for the total energy is -6.13 eV/atom. The calculation puts the excess energy over the best structure of this formula in the dataset at 187.8 meV/atom. For the volume, the calculation gives 61.80 Å³ per cell. The space group is Cmmm, No. 65.

Cell lengths 5.0886, 5.0886, 2.6917 Å; angles 90.00, 90.00, 117.53 degrees
Fractional positions:
Mo 0.0000 0.0000 0.0000
Mo 0.5000 0.5000 0.0000
Be 0.5000 0.0000 0.5000
Cd 0.0000 0.5000 0.5000

---

Entry 3:
AcSnBi2: optimized geometry, PBE.

## Properties
The value obtained for the total energy is -4.37 eV/atom. The calculation puts the excess energy over the best structure of this formula in the dataset at 110.1 meV/atom. For the volume, the calculation gives 133.80 Å³ per cell. The space group is P4/mmm, No. 123.

Cell lengths 4.4359, 4.4359, 6.7999 Å; angles 90.00, 90.00, 90.00 degrees
Fractional positions:
Bi 0.0000 0.0000 0.7568
Bi 0.0000 0.0000 0.2432
Sn 0.5000 0.5000 0.0000
Ac 0.5000 0.5000 0.5000